# 1
The following is a PBE-GGA calculation of a geometry-optimized ZrUOs4 structure, from the Alexandria database.

Unit cell a=5.300 b=5.300 c=5.300 alpha=60.00 beta=60.00 gamma=60.00
Fractional positions:
Zr (0.000, 0.000, 0.000)
U (0.250, 0.250, 0.250)
Os (0.124, 0.625, 0.625)
Os (0.625, 0.124, 0.625)
Os (0.625, 0.625, 0.124)
Os (0.625, 0.625, 0.625)

Energy relative to the elements (eV per atom): -0.153
Spin magnetization (μB/f.u.): 2.0
VASP energy (eV/atom): -10.946

# 2
The following is a PBE-GGA calculation of a geometry-optimized ScAg2Cl6 structure, from the Alexandria database.

Unit cell a=7.171 b=7.171 c=7.171 alpha=55.68 beta=55.68 gamma=55.68
Fractional positions:
Sc (0.000, 0.000, 0.000)
Ag (0.190, 0.190, 0.190)
Ag (0.810, 0.810, 0.810)
Cl (0.091, 0.777, 0.379)
Cl (0.223, 0.621, 0.909)
Cl (0.379, 0.091, 0.777)
Cl (0.621, 0.909, 0.223)
Cl (0.777, 0.379, 0.091)
Cl (0.909, 0.223, 0.621)

Spin magnetization (μB/f.u.): 1.0
Formation energy (no corrections) (eV per atom): -1.090
VASP energy (eV/atom): -3.659

# 3
The following is a PBE-GGA calculation of a geometry-optimized Mg12Cd3Cu structure, from the Alexandria database.

Unit cell a=4.412 b=4.412 c=17.498 alpha=90.00 beta=90.00 gamma=90.00
Fractional positions:
Mg (0.000, 0.000, 0.000)
Mg (0.000, 0.000, 0.242)
Mg (0.000, 0.000, 0.500)
Mg (0.000, 0.000, 0.758)
Mg (0.000, 0.500, 0.113)
Mg (0.000, 0.500, 0.371)
Mg (0.000, 0.500, 0.629)
Mg (0.000, 0.500, 0.887)
Mg (0.500, 0.000, 0.113)
Mg (0.500, 0.000, 0.371)
Mg (0.500, 0.000, 0.629)
Mg (0.500, 0.000, 0.887)
Cd (0.500, 0.500, 0.243)
Cd (0.500, 0.500, 0.500)
Cd (0.500, 0.500, 0.757)
Cu (0.500, 0.500, 0.000)

Energy relative to the elements (eV per atom): -0.040
Spin magnetization (μB/f.u.): 0.0
VASP energy (eV/atom): -1.663

# 4
The following is a PBE-GGA calculation of a geometry-optimized CdIn2As structure, from the Alexandria database.

Unit cell a=3.895 b=4.333 c=12.022 alpha=90.00 beta=90.00 gamma=90.00
Fractional positions:
Cd (0.000, 0.000, 0.000)
Cd (0.500, 0.500, 0.500)
In (0.000, 0.500, 0.195)
In (0.000, 0.500, 0.805)
In (0.500, 0.000, 0.305)
In (0.500, 0.000, 0.695)
As (0.000, 0.000, 0.500)
As (0.500, 0.500, 0.000)

Energy relative to the elements (eV per atom): 0.037
Spin magnetization (μB/f.u.): 0.0
VASP energy (eV/atom): -2.724

# 5
The following is a PBE-GGA calculation of a geometry-optimized CrCuCl structure, from the Alexandria database.

Unit cell a=4.252 b=4.252 c=3.251 alpha=90.00 beta=90.00 gamma=120.00
Fractional positions:
Cr (0.000, 0.000, 0.000)
Cu (0.667, 0.333, 0.488)
Cl (0.333, 0.667, 0.966)

Spin magnetization (μB/f.u.): 4.1
Formation energy (no corrections) (eV per atom): 0.461
VASP energy (eV/atom): -4.728

# 6
The following is a PBE-GGA calculation of a geometry-optimized TaMnNbNi2 structure, from the Alexandria database.

Unit cell a=4.269 b=4.269 c=4.441 alpha=90.00 beta=90.00 gamma=90.00
Fractional positions:
Ta (0.000, 0.000, 0.000)
Mn (0.500, 0.500, 0.500)
Nb (0.500, 0.500, 0.000)
Ni (0.000, 0.500, 0.500)
Ni (0.500, 0.000, 0.500)

Energy relative to the elements (eV per atom): 0.923
Spin magnetization (μB/f.u.): 2.2
VASP energy (eV/atom): -7.608

# 7
The following is a PBE-GGA calculation of a geometry-optimized Mo3HPb structure, from the Alexandria database.

Unit cell a=4.158 b=4.158 c=4.158 alpha=90.00 beta=90.00 gamma=90.00
Fractional positions:
Mo (0.000, 0.000, 0.500)
Mo (0.000, 0.500, 0.000)
Mo (0.500, 0.000, 0.000)
H (0.000, 0.000, 0.000)
Pb (0.500, 0.500, 0.500)

Spin magnetization (μB/f.u.): 0.0
VASP energy (eV/atom): -7.418

# 8
The following is a PBE-GGA calculation of a geometry-optimized PmDy4Ho structure, from the Alexandria database.

Unit cell a=6.574 b=6.574 c=6.574 alpha=60.00 beta=60.00 gamma=60.00
Fractional positions:
Pm (0.000, 0.000, 0.000)
Dy (0.126, 0.625, 0.625)
Dy (0.625, 0.126, 0.625)
Dy (0.625, 0.625, 0.126)
Dy (0.625, 0.625, 0.625)
Ho (0.250, 0.250, 0.250)

Energy relative to the elements (eV per atom): 0.273
Spin magnetization (μB/f.u.): 0.7
VASP energy (eV/atom): -4.350